An optimized crystal structure of Np3Fe6Si2, computed with PBE.

a b c (Å): 7.4023 7.4023 7.4023
angles (deg): 109.47 109.47 109.47
Closest atoms and distances in Å follow each position.
Element x y z (fractional)
Np 0.7286 0.0000 0.7286  4 Fe 2.66
Np 0.2714 0.0000 0.2714  4 Fe 2.66
Np 0.0000 0.2714 0.2714  4 Fe 2.66
Np 0.0000 0.7286 0.7286  4 Fe 2.66
Np 0.2714 0.2714 0.0000  4 Fe 2.66
Np 0.7286 0.7286 0.0000  4 Fe 2.66
Fe 0.6489 0.2978 0.6489  2 Si 2.46, 6 Fe 2.50-2.55, 2 Np 2.66
Fe 0.6489 0.0000 0.3511  2 Si 2.46, 6 Fe 2.50-2.55, 2 Np 2.66
Fe 0.3511 0.0000 0.6489  2 Si 2.46, 6 Fe 2.50-2.55, 2 Np 2.66
Fe 0.3511 0.7022 0.3511  2 Si 2.46, 6 Fe 2.50-2.55, 2 Np 2.66
Fe 0.0000 0.6489 0.3511  2 Si 2.46, 6 Fe 2.50-2.55, 2 Np 2.66
Fe 0.7022 0.3511 0.3511  2 Si 2.46, 6 Fe 2.50-2.55, 2 Np 2.66
Fe 0.2978 0.6489 0.6489  2 Si 2.46, 6 Fe 2.50-2.55, 2 Np 2.66
Fe 0.0000 0.3511 0.6489  2 Si 2.46, 6 Fe 2.50-2.55, 2 Np 2.66
Fe 0.3511 0.6489 0.0000  2 Si 2.46, 6 Fe 2.50-2.55, 2 Np 2.66
Fe 0.6489 0.6489 0.2978  2 Si 2.46, 6 Fe 2.50-2.55, 2 Np 2.66
Fe 0.3511 0.3511 0.7022  2 Si 2.46, 6 Fe 2.50-2.55, 2 Np 2.66
Fe 0.6489 0.3511 0.0000  2 Si 2.46, 6 Fe 2.50-2.55, 2 Np 2.66
Si 0.0000 0.5000 0.0000  6 Fe 2.46
Si 0.5000 0.0000 0.0000  6 Fe 2.46
Si 0.0000 0.0000 0.5000  6 Fe 2.46
Si 0.5000 0.5000 0.5000  6 Fe 2.46

The uncorrected formation energy is -242.6 meV per atom. The value obtained for the magnetization is 0.2765 μB per atom. The calculated total energy is -9.374 eV/atom.